No. 1
The following is a DFT calculation (PBE-GGA) of a relaxed structure of CdIn2GaSe6.

Values from the calculation:
- DOS(E_F) (states/eV/cell) = 11.173
- crystal system = monoclinic
- electronic total energy (eV/atom) = -3.440
- size of the total moment (μB per atom) = 0.001
- uncorrected formation energy (meV per atom) = -407

Geometry as CIF:
```
data_CdIn2GaSe6
_cell_length_a 13.7293
_cell_length_b 14.0499
_cell_length_c 7.1138
_cell_angle_alpha 90.00
_cell_angle_beta 115.98
_cell_angle_gamma 90.00
_space_group_name_H-M_alt 'C 1 2/c 1'
_space_group_IT_number 15
_space_group_name_Hall '-C 2yc'
loop_
_atom_site_label
_atom_site_type_symbol
_atom_site_fract_x
_atom_site_fract_y
_atom_site_fract_z
Cd1 Cd 0.0000 0.1732 0.2500
In1 In 0.1839 0.4107 0.1815
Ga1 Ga 0.0000 0.1683 0.7500
Se1 Se 0.1013 0.4381 0.4509
Se2 Se 0.1049 0.0701 0.6140
Se3 Se 0.1346 0.2297 0.0874
```



No. 2
The following is a DFT calculation (PBE-GGA) of a relaxed structure of La3Nd3Tl2Co.

Values from the calculation:
- DOS(E_F) (states/eV/cell) = 10.444
- E_form (eV/atom) = -0.25
- crystal system = hexagonal
- electronic total energy (eV/atom) = -4.792
- size of the total moment (μB per atom) = 0.000

Geometry as CIF:
```
data_La3Nd3Tl2Co
_cell_length_a 8.9515
_cell_length_b 8.9515
_cell_length_c 3.8807
_cell_angle_alpha 90.00
_cell_angle_beta 90.00
_cell_angle_gamma 120.00
_space_group_name_H-M_alt 'P -6 2 m'
_space_group_IT_number 189
_space_group_name_Hall 'P -6 -2'
loop_
_atom_site_label
_atom_site_type_symbol
_atom_site_fract_x
_atom_site_fract_y
_atom_site_fract_z
La1 La 0.0000 0.7691 0.0000
Nd1 Nd 0.0000 0.4027 0.5000
Tl1 Tl 0.3333 0.6667 0.0000
Co1 Co 0.0000 0.0000 0.5000
```



No. 3
The following is a DFT calculation (PBE-GGA) of a relaxed structure of Sr4CuPd2.

Values from the calculation:
- DOS(E_F) (states/eV/cell) = 11.521
- E_form (eV/atom) = -0.38
- crystal system = monoclinic
- electronic total energy (eV/atom) = -3.413
- size of the total moment (μB per atom) = 0.000

Geometry as CIF:
```
data_Sr4CuPd2
_cell_length_a 12.3629
_cell_length_b 9.2068
_cell_length_c 8.3732
_cell_angle_alpha 90.00
_cell_angle_beta 109.16
_cell_angle_gamma 90.00
_space_group_name_H-M_alt 'C 1 m 1'
_space_group_IT_number 8
_space_group_name_Hall 'C -2y'
loop_
_atom_site_label
_atom_site_type_symbol
_atom_site_fract_x
_atom_site_fract_y
_atom_site_fract_z
Sr1 Sr 0.0000 0.0000 0.0000
Sr2 Sr 0.0012 0.5000 0.4957
Sr3 Sr 0.0105 0.5000 0.0076
Sr4 Sr 0.2639 0.2530 0.6356
Sr5 Sr 0.2801 0.2550 0.1395
Sr6 Sr 0.4929 0.5000 0.4938
Cu1 Cu 0.1984 0.0000 0.3478
Cu2 Cu 0.2194 0.0000 0.8626
Pd1 Pd 0.0673 0.2417 0.2842
Pd2 Pd 0.2140 0.5000 0.3602
Pd3 Pd 0.2213 0.5000 0.8591
```



No. 4
The following is a DFT calculation (PBE-GGA) of a relaxed structure of KPuHgF6.

Values from the calculation:
- DOS(E_F) (states/eV/cell) = 25.927
- crystal system = trigonal
- electronic total energy (eV/atom) = -5.744
- size of the total moment (μB per atom) = 0.355
- uncorrected formation energy (meV per atom) = -2749

Geometry as CIF:
```
data_KPuHgF6
_cell_length_a 6.9481
_cell_length_b 6.9481
_cell_length_c 9.3354
_cell_angle_alpha 90.00
_cell_angle_beta 90.00
_cell_angle_gamma 120.00
_space_group_name_H-M_alt 'P -3 1 c'
_space_group_IT_number 163
_space_group_name_Hall '-P 3 2c'
loop_
_atom_site_label
_atom_site_type_symbol
_atom_site_fract_x
_atom_site_fract_y
_atom_site_fract_z
K1 K 0.3333 0.6667 0.2500
Pu1 Pu 0.3333 0.6667 0.7500
Hg1 Hg 0.0000 0.0000 0.0000
F1 F 0.0732 0.4191 0.6266
```



No. 5
The following is a DFT calculation (PBE-GGA) of a relaxed structure of Zn2CdAsO6.

Values from the calculation:
- crystal system = monoclinic
- electronic total energy (eV/atom) = -4.889
- size of the total moment (μB per atom) = 0.103
- uncorrected formation energy (meV per atom) = -1103

Geometry as CIF:
```
data_Zn2CdAsO6
_cell_length_a 10.7661
_cell_length_b 8.9591
_cell_length_c 6.8965
_cell_angle_alpha 90.00
_cell_angle_beta 116.87
_cell_angle_gamma 90.00
_space_group_name_H-M_alt 'C 1 2/c 1'
_space_group_IT_number 15
_space_group_name_Hall '-C 2yc'
loop_
_atom_site_label
_atom_site_type_symbol
_atom_site_fract_x
_atom_site_fract_y
_atom_site_fract_z
Zn1 Zn 0.1659 0.0439 0.0953
Cd1 Cd 0.0000 0.2961 0.2500
As1 As 0.0000 0.3525 0.7500
O1 O 0.0612 0.2428 0.9784
O2 O 0.1247 0.4751 0.7526
O3 O 0.1256 0.0746 0.3414
```



No. 6
The following is a DFT calculation (PBE-GGA) of a relaxed structure of NpFeSi.

Values from the calculation:
- DOS(E_F) (states/eV/cell) = 22.944
- crystal system = orthorhombic
- electronic total energy (eV/atom) = -9.156
- size of the total moment (μB per atom) = 1.391
- uncorrected formation energy (meV per atom) = -213

Geometry as CIF:
```
data_NpFeSi
_cell_length_a 5.5117
_cell_length_b 7.0188
_cell_length_c 4.8414
_cell_angle_alpha 90.00
_cell_angle_beta 90.00
_cell_angle_gamma 90.00
_space_group_name_H-M_alt 'P b c m'
_space_group_IT_number 57
_space_group_name_Hall '-P 2c 2b'
loop_
_atom_site_label
_atom_site_type_symbol
_atom_site_fract_x
_atom_site_fract_y
_atom_site_fract_z
Np1 Np 0.0993 0.1253 0.2500
Fe1 Fe 0.3611 0.7500 0.0000
Si1 Si 0.3940 0.0359 0.7500
```